Crystalline MgBi2Cl at its relaxed geometry. Source: the Alexandria database, functional GGA-PBE.

a = 5.318 Å, b = 5.318 Å, c = 5.318 Å
α = 60.00°, β = 60.00°, γ = 60.00°
Sites, in units of the cell vectors:
Bi  0.750  0.750  0.750
Mg  0.000  0.000  0.000
Bi  0.250  0.250  0.250
Cl  0.500  0.500  0.500

Formation energy without anion corrections   -117 meV per atom
Volume   106 Å³/cell

=====

Crystalline MgBiCl2 at its relaxed geometry. Source: the Alexandria database, functional GGA-PBE.

a = 9.868 Å, b = 9.868 Å, c = 9.868 Å
α = 20.72°, β = 20.72°, γ = 20.72°
Sites, in units of the cell vectors:
Bi  0.500  0.500  0.500
Cl  0.083  0.083  0.083
Cl  0.917  0.917  0.917
Mg  0.000  0.000  0.000

Formation energy without anion corrections   -538 meV per atom
Volume   105 Å³/cell